Record 1
# LiTaBe3 (PBE, optimized geometry)
# - Offset from the most stable computed form: 0.000 eV/atom
# - ΔH_f (0 K): 0.4559 eV/atom
# - N(E_F): 0.693 states/eV/cell
# - Crystal system: cubic
data_LiTaBe3
_chemical_formula_sum 'Li1 Ta1 Be3'
_space_group_name_H-M_alt 'P m -3 m'
_space_group_IT_number 221
_space_group_name_Hall '-P 4 2 3'
_cell_length_a 3.744
_cell_length_b 3.744
_cell_length_c 3.744
_cell_angle_alpha 90.00
_cell_angle_beta 90.00
_cell_angle_gamma 90.00
loop_
_atom_site_label
_atom_site_fract_x
_atom_site_fract_y
_atom_site_fract_z
_atom_site_occupancy
Li1 0.000 0.000 0.000 1
Ta1 0.500 0.500 0.500 1
Be1 0.000 0.000 0.500 1

Record 2
# SrWSN2 (PBE, optimized geometry)
# - Formation energy (no corrections): 2.290 eV per atom
# - Offset from the most stable computed form: 2.940 eV/atom
# - N(E_F): 2.981 states/eV/cell
# - Crystal system: tetragonal
data_SrWSN2
_chemical_formula_sum 'Sr1 W1 S1 N2'
_space_group_name_H-M_alt 'P 4/m m m'
_space_group_IT_number 123
_space_group_name_Hall '-P 4 2'
_cell_length_a 4.451
_cell_length_b 4.451
_cell_length_c 5.565
_cell_angle_alpha 90.00
_cell_angle_beta 90.00
_cell_angle_gamma 90.00
loop_
_atom_site_label
_atom_site_fract_x
_atom_site_fract_y
_atom_site_fract_z
_atom_site_occupancy
Sr1 0.000 0.000 0.000 1
W1 0.500 0.500 0.500 1
S1 0.000 0.000 0.500 1
N1 0.000 0.500 0.000 1

Record 3
# Ca3In2Pb (PBE, optimized geometry)
# - ΔH_f (0 K): -0.4885 eV/atom
# - N(E_F): 5.839 states/eV/cell
# - Crystal system: orthorhombic
data_Ca3In2Pb
_chemical_formula_sum 'Ca6 In4 Pb2'
_space_group_name_H-M_alt 'C m m m'
_space_group_IT_number 65
_space_group_name_Hall '-C 2 2'
_cell_length_a 5.541
_cell_length_b 16.684
_cell_length_c 3.804
_cell_angle_alpha 90.00
_cell_angle_beta 90.00
_cell_angle_gamma 90.00
loop_
_atom_site_label
_atom_site_fract_x
_atom_site_fract_y
_atom_site_fract_z
_atom_site_occupancy
Ca1 0.000 0.000 0.000 1
Ca2 0.000 0.334 0.000 1
In1 0.000 0.174 0.500 1
Pb1 0.000 0.500 0.500 1

Record 4
# MgScTeCl2 (PBE, optimized geometry)
# - Formation energy (no corrections): -0.880 eV per atom
# - Offset from the most stable computed form: 0.308 eV/atom
# - N(E_F): 2.201 states/eV/cell
# - Crystal system: tetragonal
data_MgScTeCl2
_chemical_formula_sum 'Mg1 Sc1 Te1 Cl2'
_space_group_name_H-M_alt 'P 4/m m m'
_space_group_IT_number 123
_space_group_name_Hall '-P 4 2'
_cell_length_a 4.721
_cell_length_b 4.721
_cell_length_c 7.433
_cell_angle_alpha 90.00
_cell_angle_beta 90.00
_cell_angle_gamma 90.00
loop_
_atom_site_label
_atom_site_fract_x
_atom_site_fract_y
_atom_site_fract_z
_atom_site_occupancy
Mg1 0.000 0.000 0.000 1
Sc1 0.000 0.000 0.500 1
Te1 0.500 0.500 0.000 1
Cl1 0.000 0.500 0.500 1

Record 5
# AsPRhAu2 (PBE, optimized geometry)
# - Offset from the most stable computed form: 0.142 eV/atom
# - ΔH_f (0 K): 0.0149 eV/atom
# - N(E_F): 4.428 states/eV/cell
# - Crystal system: monoclinic
data_AsPRhAu2
_chemical_formula_sum 'As2 P2 Rh2 Au4'
_space_group_name_H-M_alt 'C 1 m 1'
_space_group_IT_number 8
_space_group_name_Hall 'C -2y'
_cell_length_a 5.416
_cell_length_b 4.579
_cell_length_c 7.001
_cell_angle_alpha 90.00
_cell_angle_beta 93.99
_cell_angle_gamma 90.00
loop_
_atom_site_label
_atom_site_fract_x
_atom_site_fract_y
_atom_site_fract_z
_atom_site_occupancy
As1 0.000 0.000 0.000 1
P1 0.332 0.000 0.748 1
Rh1 0.234 0.500 0.666 1
Au1 0.068 0.500 0.190 1
Au2 0.137 0.000 0.419 1

Record 6
# Ho2Ni6HRh (PBE, optimized geometry)
# - N(E_F): 7.575 states/eV/cell
# - Total energy: -57.95 eV/cell
# - Crystal system: triclinic
data_Ho2Ni6HRh
_chemical_formula_sum 'Ho2 Ni6 H1 Rh1'
_space_group_name_H-M_alt 'P -1'
_space_group_IT_number 2
_space_group_name_Hall '-P 1'
_cell_length_a 5.115
_cell_length_b 5.128
_cell_length_c 6.665
_cell_angle_alpha 67.41
_cell_angle_beta 67.46
_cell_angle_gamma 60.24
loop_
_atom_site_label
_atom_site_fract_x
_atom_site_fract_y
_atom_site_fract_z
_atom_site_occupancy
Ho1 0.216 0.218 0.351 1
Ni1 0.225 0.222 0.837 1
Ni2 0.225 0.706 0.842 1
Ni3 0.288 0.778 0.161 1
H1 0.000 0.000 0.000 1
Rh1 0.500 0.500 0.500 1

Record 7
# Dy3Tl3GaSe8 (PBE, optimized geometry)
# - Formation energy (no corrections): -1.113 eV per atom
# - N(E_F): 11.332 states/eV/cell
# - Crystal system: monoclinic
data_Dy3Tl3GaSe8
_chemical_formula_sum 'Dy6 Tl6 Ga2 Se16'
_space_group_name_H-M_alt 'C 1 2/m 1'
_space_group_IT_number 12
_space_group_name_Hall '-C 2y'
_cell_length_a 14.251
_cell_length_b 8.226
_cell_length_c 9.006
_cell_angle_alpha 90.00
_cell_angle_beta 121.90
_cell_angle_gamma 90.00
loop_
_atom_site_label
_atom_site_fract_x
_atom_site_fract_y
_atom_site_fract_z
_atom_site_occupancy
Dy1 0.000 0.000 0.000 1
Dy2 0.250 0.250 0.000 1
Tl1 0.000 0.500 0.500 1
Tl2 0.250 0.250 0.500 1
Ga1 0.000 0.500 0.000 1
Se1 0.012 0.266 0.803 1
Se2 0.222 0.500 0.197 1
Se3 0.236 0.000 0.209 1

Record 8
# TbPmDy2Tm5 (PBE, optimized geometry)
# - ΔH_f (0 K): 0.1600 eV/atom
# - N(E_F): 54.726 states/eV/cell
# - Crystal system: orthorhombic
data_TbPmDy2Tm5
_chemical_formula_sum 'Tb4 Pm4 Dy8 Tm20'
_space_group_name_H-M_alt 'C m c 21'
_space_group_IT_number 36
_space_group_name_Hall 'C 2c -2'
_cell_length_a 5.554
_cell_length_b 19.608
_cell_length_c 10.523
_cell_angle_alpha 90.00
_cell_angle_beta 90.00
_cell_angle_gamma 90.00
loop_
_atom_site_label
_atom_site_fract_x
_atom_site_fract_y
_atom_site_fract_z
_atom_site_occupancy
Tb1 0.000 0.201 0.000 1
Pm1 0.000 0.417 0.442 1
Dy1 0.000 0.110 0.723 1
Dy2 0.000 0.113 0.308 1
Tm1 0.000 0.018 0.014 1
Tm2 0.000 0.282 0.298 1
Tm3 0.000 0.299 0.699 1
Tm4 0.000 0.389 0.010 1
Tm5 0.000 0.479 0.725 1

Record 9
# La4Pm3ScSe8 (PBE, optimized geometry)
# - Formation energy (no corrections): -1.871 eV per atom
# - N(E_F): 32.017 states/eV/cell
# - Crystal system: trigonal
data_La4Pm3ScSe8
_chemical_formula_sum 'La12 Pm9 Sc3 Se24'
_space_group_name_H-M_alt 'R -3 m'
_space_group_IT_number 166
_space_group_name_Hall '-R 3 2"'
_cell_length_a 8.4411
_cell_length_b 8.4411
_cell_length_c 20.6688
_cell_angle_alpha 90.00
_cell_angle_beta 90.00
_cell_angle_gamma 120.00
loop_
_atom_site_label
_atom_site_fract_x
_atom_site_fract_y
_atom_site_fract_z
_atom_site_occupancy
La1 0.0000 0.0000 0.0000 1
La2 0.0000 0.5000 0.0000 1
Pm1 0.0000 0.5000 0.5000 1
Sc1 0.0000 0.0000 0.5000 1
Se1 0.0000 0.0000 0.2474 1
Se2 0.0123 0.5062 0.2445 1

Record 10
# K3NaC (PBE, optimized geometry)
# - Offset from the most stable computed form: 0.000 eV/atom
# - ΔH_f (0 K): 0.9500 eV/atom
# - N(E_F): 12.496 states/eV/cell
# - Crystal system: cubic
data_K3NaC
_chemical_formula_sum 'K3 Na1 C1'
_space_group_name_H-M_alt 'P m -3 m'
_space_group_IT_number 221
_space_group_name_Hall '-P 4 2 3'
_cell_length_a 5.958
_cell_length_b 5.958
_cell_length_c 5.958
_cell_angle_alpha 90.00
_cell_angle_beta 90.00
_cell_angle_gamma 90.00
loop_
_atom_site_label
_atom_site_fract_x
_atom_site_fract_y
_atom_site_fract_z
_atom_site_occupancy
K1 0.000 0.000 0.500 1
Na1 0.500 0.500 0.500 1
C1 0.000 0.000 0.000 1

Record 11
# Sr8Pb2O (PBE, optimized geometry)
# - Formation energy (no corrections): -0.552 eV per atom
# - N(E_F): 17.842 states/eV/cell
# - Crystal system: monoclinic
data_Sr8Pb2O
_chemical_formula_sum 'Sr16 Pb4 O2'
_space_group_name_H-M_alt 'C 1 2/m 1'
_space_group_IT_number 12
_space_group_name_Hall '-C 2y'
_cell_length_a 21.224
_cell_length_b 5.916
_cell_length_c 7.474
_cell_angle_alpha 90.00
_cell_angle_beta 92.59
_cell_angle_gamma 90.00
loop_
_atom_site_label
_atom_site_fract_x
_atom_site_fract_y
_atom_site_fract_z
_atom_site_occupancy
Sr1 0.031 0.000 0.254 1
Sr2 0.094 0.500 0.874 1
Sr3 0.188 0.500 0.419 1
Sr4 0.203 0.000 0.061 1
Pb1 0.136 0.000 0.619 1
O1 0.000 0.500 0.000 1

Record 12
# Mg3ZnO4 (PBE, optimized geometry)
# - Formation energy (no corrections): -2.357 eV per atom
# - Offset from the most stable computed form: 0.000 eV/atom
# - N(E_F): 0.000 states/eV/cell
# - Crystal system: cubic
data_Mg3ZnO4
_chemical_formula_sum 'Mg3 Zn1 O4'
_space_group_name_H-M_alt 'P m -3 m'
_space_group_IT_number 221
_space_group_name_Hall '-P 4 2 3'
_cell_length_a 4.279
_cell_length_b 4.279
_cell_length_c 4.279
_cell_angle_alpha 90.00
_cell_angle_beta 90.00
_cell_angle_gamma 90.00
loop_
_atom_site_label
_atom_site_fract_x
_atom_site_fract_y
_atom_site_fract_z
_atom_site_occupancy
Mg1 0.000 0.000 0.500 1
Zn1 0.500 0.500 0.500 1
O1 0.000 0.000 0.000 1
O2 0.000 0.500 0.500 1

Record 13
# Hf2PtS (PBE, optimized geometry)
# - Formation energy (no corrections): -0.786 eV per atom
# - N(E_F): 8.124 states/eV/cell
# - Crystal system: tetragonal
data_Hf2PtS
_chemical_formula_sum 'Hf8 Pt4 S4'
_space_group_name_H-M_alt 'I -4 2 d'
_space_group_IT_number 122
_space_group_name_Hall 'I -4 2bw'
_cell_length_a 6.945
_cell_length_b 6.945
_cell_length_c 6.506
_cell_angle_alpha 90.00
_cell_angle_beta 90.00
_cell_angle_gamma 90.00
loop_
_atom_site_label
_atom_site_fract_x
_atom_site_fract_y
_atom_site_fract_z
_atom_site_occupancy
Hf1 0.231 0.250 0.125 1
Pt1 0.000 0.000 0.500 1
S1 0.000 0.000 0.000 1

Record 14
# PrHoMgRh (PBE, optimized geometry)
# - ΔH_f (0 K): -0.3396 eV/atom
# - N(E_F): 6.942 states/eV/cell
# - Crystal system: cubic
data_PrHoMgRh
_chemical_formula_sum 'Pr4 Ho4 Mg4 Rh4'
_space_group_name_H-M_alt 'F -4 3 m'
_space_group_IT_number 216
_space_group_name_Hall 'F -4 2 3'
_cell_length_a 7.279
_cell_length_b 7.279
_cell_length_c 7.279
_cell_angle_alpha 90.00
_cell_angle_beta 90.00
_cell_angle_gamma 90.00
loop_
_atom_site_label
_atom_site_fract_x
_atom_site_fract_y
_atom_site_fract_z
_atom_site_occupancy
Pr1 0.000 0.000 0.000 1
Ho1 0.000 0.000 0.500 1
Mg1 0.250 0.250 0.250 1
Rh1 0.250 0.250 0.750 1

Record 15
# Ho12ErTm7 (PBE, optimized geometry)
# - Offset from the most stable computed form: 0.028 eV/atom
# - ΔH_f (0 K): 0.3384 eV/atom
# - N(E_F): 83.457 states/eV/cell
# - Crystal system: trigonal
data_Ho12ErTm7
_chemical_formula_sum 'Ho36 Er3 Tm21'
_space_group_name_H-M_alt 'R -3'
_space_group_IT_number 148
_space_group_name_Hall '-R 3'
_cell_length_a 18.3772
_cell_length_b 18.3772
_cell_length_c 6.5840
_cell_angle_alpha 90.00
_cell_angle_beta 90.00
_cell_angle_gamma 120.00
loop_
_atom_site_label
_atom_site_fract_x
_atom_site_fract_y
_atom_site_fract_z
_atom_site_occupancy
Ho1 0.0006 0.7898 0.2803 1
Ho2 0.0058 0.4714 0.7412 1
Er1 0.0000 0.0000 0.0000 1
Tm1 0.0000 0.0000 0.5000 1
Tm2 0.0079 0.8524 0.7792 1

Record 16
# Tb3PrIr8 (PBE, optimized geometry)
# - Offset from the most stable computed form: 0.009 eV/atom
# - ΔH_f (0 K): -0.7546 eV/atom
# - N(E_F): 3.608 states/eV/cell
# - Crystal system: trigonal
data_Tb3PrIr8
_chemical_formula_sum 'Tb3 Pr1 Ir8'
_space_group_name_H-M_alt 'P 3 m 1'
_space_group_IT_number 156
_space_group_name_Hall 'P 3 -2"'
_cell_length_a 5.3963
_cell_length_b 5.3963
_cell_length_c 8.7728
_cell_angle_alpha 90.00
_cell_angle_beta 90.00
_cell_angle_gamma 120.00
loop_
_atom_site_label
_atom_site_fract_x
_atom_site_fract_y
_atom_site_fract_z
_atom_site_occupancy
Tb1 0.0000 0.0000 0.0000 1
Tb2 0.0000 0.0000 0.3639 1
Tb3 0.3333 0.6667 0.8666 1
Pr1 0.3333 0.6667 0.5007 1
Ir1 0.0054 0.5027 0.1808 1
Ir2 0.3272 0.1636 0.6856 1
Ir3 0.6667 0.3333 0.4324 1
Ir4 0.6667 0.3333 0.9328 1

Record 17
# CePm2Ho12 (PBE, optimized geometry)
# - ΔH_f (0 K): 0.3516 eV/atom
# - N(E_F): 62.727 states/eV/cell
# - Crystal system: tetragonal
data_CePm2Ho12
_chemical_formula_sum 'Ce2 Pm4 Ho24'
_space_group_name_H-M_alt 'P 4/n b m'
_space_group_IT_number 125
_cell_length_a 6.395
_cell_length_b 6.395
_cell_length_c 24.869
_cell_angle_alpha 90.00
_cell_angle_beta 90.00
_cell_angle_gamma 90.00
loop_
_space_group_symop_operation_xyz
'x,y,z'
'-x,-y,-z'
'-y+1/2,x,z'
'y+1/2,-x,-z'
'-x+1/2,-y+1/2,z'
'x+1/2,y+1/2,-z'
'y,-x+1/2,z'
'-y,x+1/2,-z'
'x,-y+1/2,-z'
'-x,y+1/2,z'
'-y+1/2,-x+1/2,-z'
'y+1/2,x+1/2,z'
'-x+1/2,y,-z'
'x+1/2,-y,z'
'y,x,-z'
'-y,-x,z'
loop_
_atom_site_label
_atom_site_fract_x
_atom_site_fract_y
_atom_site_fract_z
_atom_site_occupancy
Ce1 0.250 0.750 0.000 1
Pm1 0.250 0.750 0.273 1
Ho1 0.065 0.565 0.115 1
Ho2 0.081 0.581 0.439 1
Ho3 0.250 0.250 0.215 1
Ho4 0.250 0.250 0.340 1

Record 18
# CaPrTcN3 (PBE, optimized geometry)
# - Formation energy (no corrections): -0.663 eV per atom
# - N(E_F): 3.096 states/eV/cell
# - Crystal system: monoclinic
data_CaPrTcN3
_chemical_formula_sum 'Ca2 Pr2 Tc2 N6'
_space_group_name_H-M_alt 'P 1 21/m 1'
_space_group_IT_number 11
_space_group_name_Hall '-P 2yb'
_cell_length_a 7.578
_cell_length_b 3.527
_cell_length_c 8.298
_cell_angle_alpha 90.00
_cell_angle_beta 98.55
_cell_angle_gamma 90.00
loop_
_atom_site_label
_atom_site_fract_x
_atom_site_fract_y
_atom_site_fract_z
_atom_site_occupancy
Ca1 0.164 0.250 0.136 1
Pr1 0.388 0.750 0.828 1
Tc1 0.054 0.250 0.615 1
N1 0.076 0.250 0.838 1
N2 0.165 0.750 0.556 1
N3 0.393 0.750 0.118 1

Record 19
# Cs5AgPb6 (PBE, optimized geometry)
# - ΔH_f (0 K): -0.0961 eV/atom
# - N(E_F): 6.363 states/eV/cell
# - Crystal system: monoclinic
data_Cs5AgPb6
_chemical_formula_sum 'Cs10 Ag2 Pb12'
_space_group_name_H-M_alt 'C 1 2/m 1'
_space_group_IT_number 12
_space_group_name_Hall '-C 2y'
_cell_length_a 7.831
_cell_length_b 15.350
_cell_length_c 10.402
_cell_angle_alpha 90.00
_cell_angle_beta 108.01
_cell_angle_gamma 90.00
loop_
_atom_site_label
_atom_site_fract_x
_atom_site_fract_y
_atom_site_fract_z
_atom_site_occupancy
Cs1 0.000 0.000 0.000 1
Cs2 0.000 0.147 0.500 1
Cs3 0.000 0.268 0.000 1
Ag1 0.000 0.500 0.500 1
Pb1 0.114 0.500 0.170 1
Pb2 0.136 0.388 0.718 1

Record 20
# LaPm4Zn5 (PBE, optimized geometry)
# - ΔH_f (0 K): -0.3119 eV/atom
# - N(E_F): 12.662 states/eV/cell
# - Crystal system: tetragonal
data_LaPm4Zn5
_chemical_formula_sum 'La1 Pm4 Zn5'
_space_group_name_H-M_alt 'P 4/m m m'
_space_group_IT_number 123
_space_group_name_Hall '-P 4 2'
_cell_length_a 3.680
_cell_length_b 3.680
_cell_length_c 18.422
_cell_angle_alpha 90.00
_cell_angle_beta 90.00
_cell_angle_gamma 90.00
loop_
_atom_site_label
_atom_site_fract_x
_atom_site_fract_y
_atom_site_fract_z
_atom_site_occupancy
La1 0.000 0.000 0.000 1
Pm1 0.000 0.000 0.204 1
Pm2 0.000 0.000 0.401 1
Zn1 0.500 0.500 0.107 1
Zn2 0.500 0.500 0.302 1
Zn3 0.500 0.500 0.500 1